No. 1
Material: CuTe2ICl
Method: DFT, GGA-PBE
State: relaxed

Lattice parameters (Å, degrees): 5.185 5.185 5.284 90.00 90.00 90.00
Element x y z (fractional)
I 0.000 0.000 0.500
Te 0.000 0.500 0.000
Te 0.500 0.000 0.000
Cu 0.000 0.000 0.000
Cl 0.500 0.500 0.500

Properties
**Offset from the most stable computed form**: 0.0 meV/atom
**Formation energy without anion corrections**: 328 meV per atom



No. 2
Material: NiP3
Method: DFT, GGA-PBE
State: relaxed

Lattice parameters (Å, degrees): 3.202 5.818 5.895 90.00 90.00 90.00
Element x y z (fractional)
Ni 0.000 0.923 0.000
Ni 0.500 0.077 0.500
P 0.500 0.430 0.000
P 0.000 0.570 0.500
P 0.000 0.237 0.255
P 0.000 0.237 0.745
P 0.500 0.763 0.755
P 0.500 0.763 0.245

Properties
**Offset from the most stable computed form**: 413.9 meV/atom
**Energy relative to the elements**: 0.11 eV per atom



No. 3
Material: LiTbYHg
Method: DFT, GGA-PBE
State: relaxed

Lattice parameters (Å, degrees): 5.240 5.240 5.240 60.00 60.00 60.00
Element x y z (fractional)
Y 0.250 0.250 0.250
Tb 0.750 0.750 0.750
Hg 0.000 0.000 0.000
Li 0.500 0.500 0.500

Properties
**Energy relative to the elements**: -0.23 eV per atom



Electronic total energy (Ry per atom)
-0.1784, -0.3962, -0.2612
DOS at the Fermi energy (states/eV per atom)
0.93, 0.47, 1.24